Density functional theory data (PBE-GGA) for a geometry-optimized LiScHg2 structure.

As for the formation energy from the elements: -1.2 eV/f.u. Its volume is 169 Å³/cell. The relative energy among the computed polymorphs comes out at 0.37 eV/f.u.

It has space group Cm (No. 8), with a = 10.326 Å, b = 3.252 Å, c = 5.085 Å, α = 90.00°, β = 97.71° and γ = 90.00°. The asymmetric unit holds Li at (0.000, 0.000, 0.000), Sc at (0.236, 0.000, 0.639), Hg at (0.244, 0.500, 0.135) and Hg at (0.498, 0.000, 0.493).

---

Density functional theory data (PBE-GGA) for a geometry-optimized LiScHg5 structure.

As for the formation energy from the elements: -1.1 eV/f.u. Its volume is 625 Å³/cell.

It has space group Cmcm (No. 63), with a = 6.353 Å, b = 6.355 Å, c = 15.484 Å, α = 90.00°, β = 90.00° and γ = 90.00°. The asymmetric unit holds Li at (0.000, 0.000, 0.000), Sc at (0.000, 0.498, 0.250), Hg at (0.000, 0.002, 0.750) and Hg at (0.250, 0.249, 0.105).

---

Density functional theory data (PBE-GGA) for a geometry-optimized LiSc2Hg structure.

As for the formation energy from the elements: -0.7 eV/f.u. Its volume is 85 Å³/cell.

It has space group P4mm (No. 99), with a = 3.508 Å, b = 3.508 Å, c = 6.872 Å, α = 90.00°, β = 90.00° and γ = 90.00°. The asymmetric unit holds Li at (0.000, 0.000, 0.000), Sc at (0.000, 0.000, 0.545), Sc at (0.500, 0.500, 0.259) and Hg at (0.500, 0.500, 0.798).

---

Density functional theory data (PBE-GGA) for a geometry-optimized LiScSiHg structure.

As for the formation energy from raw total energies: -0.36 eV/atom. Its volume is 295 Å³/cell.

It has space group F-43m (No. 216), with a = 6.656 Å, b = 6.656 Å, c = 6.656 Å, α = 90.00°, β = 90.00° and γ = 90.00°. The asymmetric unit holds Li at (0.000, 0.000, 0.000), Sc at (0.000, 0.000, 0.500), Si at (0.250, 0.250, 0.750) and Hg at (0.250, 0.250, 0.250).

---

Density functional theory data (PBE-GGA) for a geometry-optimized LiSmSc2Hg4 structure.

As for the formation energy from the elements: -3.2 eV/f.u. Its volume is 545 Å³/cell.

It has space group R-3m (No. 166, hexagonal axes), with a = 4.9395 Å, b = 4.9395 Å, c = 25.8014 Å, α = 90.00°, β = 90.00° and γ = 120.00°. The asymmetric unit holds Li at (0.0000, 0.0000, 0.0000), Sm at (0.0000, 0.0000, 0.5000), Sc at (0.0000, 0.0000, 0.2571), Hg at (0.0000, 0.0000, 0.1127) and Hg at (0.0000, 0.0000, 0.3718).

---

Density functional theory data (PBE-GGA) for a geometry-optimized LiScSnHg structure.

As for the formation energy from the elements: -1.9 eV/f.u. Its volume is 84 Å³/cell. The relative energy among the computed polymorphs comes out at 0.00 eV/f.u.

It has space group Pmmm (No. 47), with a = 3.723 Å, b = 4.635 Å, c = 4.880 Å, α = 90.00°, β = 90.00° and γ = 90.00°. The asymmetric unit holds Li at (0.000, 0.000, 0.000), Sc at (0.000, 0.500, 0.500), Sn at (0.500, 0.000, 0.500) and Hg at (0.500, 0.500, 0.000).

---

> Look up the volume of the fifth one.

545 Å³/cell